(1)
# CdFeN2, relaxed, DFT PBE
# N(E_F) in states/eV per atom: 0.59
# Crystal system: tetragonal
# Raw formation energy in eV/atom: 0.3247
data_CdFeN2
_space_group_name_H-M_alt 'I -4 2 d'
_space_group_IT_number 122
_space_group_name_Hall 'I -4 2bw'
_cell_length_a 4.880
_cell_length_b 4.880
_cell_length_c 8.490
_cell_angle_alpha 90.00
_cell_angle_beta 90.00
_cell_angle_gamma 90.00
loop_
_atom_site_label
_atom_site_fract_x
_atom_site_fract_y
_atom_site_fract_z
Cd1 0.000 0.000 0.000
Fe1 0.000 0.000 0.500
N1 0.162 0.250 0.625


(2)
# CrGaCoMo, relaxed, DFT PBE
# N(E_F) in states/eV per atom: 0.88
# Formation energy in meV/atom: 35
# Crystal system: cubic
data_CrGaCoMo
_space_group_name_H-M_alt 'F -4 3 m'
_space_group_IT_number 216
_space_group_name_Hall 'F -4 2 3'
_cell_length_a 5.926
_cell_length_b 5.926
_cell_length_c 5.926
_cell_angle_alpha 90.00
_cell_angle_beta 90.00
_cell_angle_gamma 90.00
loop_
_atom_site_label
_atom_site_fract_x
_atom_site_fract_y
_atom_site_fract_z
Cr1 0.000 0.000 0.000
Ga1 0.250 0.250 0.750
Co1 0.000 0.000 0.500
Mo1 0.250 0.250 0.250


(3)
# Ir2Au, relaxed, DFT PBE
# N(E_F) in states/eV per atom: 1.12
# Formation energy in meV/atom: 252
# Crystal system: tetragonal
data_Ir2Au
_space_group_name_H-M_alt 'I 4/m m m'
_space_group_IT_number 139
_space_group_name_Hall '-I 4 2'
_cell_length_a 2.795
_cell_length_b 2.795
_cell_length_c 12.102
_cell_angle_alpha 90.00
_cell_angle_beta 90.00
_cell_angle_gamma 90.00
loop_
_atom_site_label
_atom_site_fract_x
_atom_site_fract_y
_atom_site_fract_z
Ir1 0.000 0.000 0.178
Au1 0.000 0.000 0.500


> Which of these has the highest N(E_F)?

Ir2Au


Copy entry 3 word for word.
# Ir2Au, relaxed, DFT PBE
# N(E_F) in states/eV per atom: 1.12
# Formation energy in meV/atom: 252
# Crystal system: tetragonal
data_Ir2Au
_space_group_name_H-M_alt 'I 4/m m m'
_space_group_IT_number 139
_space_group_name_Hall '-I 4 2'
_cell_length_a 2.795
_cell_length_b 2.795
_cell_length_c 12.102
_cell_angle_alpha 90.00
_cell_angle_beta 90.00
_cell_angle_gamma 90.00
loop_
_atom_site_label
_atom_site_fract_x
_atom_site_fract_y
_atom_site_fract_z
Ir1 0.000 0.000 0.178
Au1 0.000 0.000 0.500


> Look up the N(E_F) of the third one.

1.12 states/eV per atom


> Number 3 is which compound?

Ir2Au